PBE Tl3Sn2Se6, optimized geometry; symmetry = I4/mmm (139); ΔE_f (raw) = -0.242 eV per atom; size of the total moment = 0.000 μB/atom
1.0
4.9510 0.0000 0.0000
0.0000 4.9510 0.0000
-2.4755 -2.4755 14.7902
Se Sn Tl
6 2 3
Direct
0.7032 0.7032 0.4065
0.2968 0.2968 0.5935
0.4181 0.9181 0.8362
0.9181 0.4181 0.8362
0.5819 0.0819 0.1638
0.0819 0.5819 0.1638
0.6188 0.6188 0.2376
0.3812 0.3812 0.7624
0.8134 0.8134 0.6268
0.0000 0.0000 0.0000
0.1866 0.1866 0.3732